No. 1
This record from the Alexandria database describes a geometry-optimized PrNpN3 structure. The functional is GGA-PBE.

Summary:
Total moment   1.00 μB/cell
Formation energy (no corrections)   -5.3 eV per formula unit

Unit cell a=4.226 b=4.226 c=4.226 alpha=90.00 beta=90.00 gamma=90.00
Fractional coordinates of all 5 atoms:
1 Pr 0.000 0.000 0.000
2 Np 0.500 0.500 0.500
3 N 0.000 0.500 0.500
4 N 0.500 0.000 0.500
5 N 0.500 0.500 0.000

---

No. 2
This record from the Alexandria database describes a geometry-optimized Pr3NpN4 structure. The functional is GGA-PBE.

Summary:
Total moment   7.16 μB/cell
Formation energy (no corrections)   -9.2 eV per formula unit
Energy relative to the lowest polymorph listed for this composition   11.1 kJ/mol of atoms

Unit cell a=8.404 b=7.127 c=5.266 alpha=90.00 beta=90.00 gamma=90.00
Fractional coordinates of all 16 atoms:
1 Pr 0.000 0.158 0.000
2 Pr 0.246 0.331 0.500
3 Pr 0.254 0.669 0.000
4 Pr 0.500 0.842 0.500
5 Pr 0.746 0.669 0.000
6 Pr 0.754 0.331 0.500
7 Np 0.000 0.822 0.491
8 Np 0.500 0.178 0.991
9 N 0.000 0.136 0.503
10 N 0.000 0.823 0.062
11 N 0.237 0.680 0.503
12 N 0.263 0.320 0.003
13 N 0.500 0.177 0.562
14 N 0.500 0.864 0.003
15 N 0.737 0.320 0.003
16 N 0.763 0.680 0.503

---

No. 3
This record from the Alexandria database describes a geometry-optimized PrNpN structure. The functional is GGA-PBE.

Summary:
Total moment   1.30 μB/cell
Formation energy (no corrections)   -1.8 eV per formula unit
Energy relative to the lowest polymorph listed for this composition   0.0 kJ/mol of atoms

Unit cell a=4.284 b=3.578 c=8.959 alpha=90.00 beta=95.22 gamma=90.00
Fractional coordinates of all 6 atoms:
1 Pr 0.217 0.250 0.327
2 Pr 0.783 0.750 0.673
3 Np 0.321 0.250 0.953
4 Np 0.679 0.750 0.047
5 N 0.158 0.750 0.141
6 N 0.842 0.250 0.859

---

No. 4
This record from the Alexandria database describes a geometry-optimized Pr2NpN3 structure. The functional is GGA-PBE.

Summary:
Total moment   5.67 μB/cell
Formation energy (no corrections)   -7.6 eV per formula unit
Energy relative to the lowest polymorph listed for this composition   0.0 kJ/mol of atoms

Unit cell a=6.197 b=6.197 c=6.253 alpha=99.56 beta=99.56 gamma=119.91
Fractional coordinates of all 12 atoms:
1 Pr 0.000 0.000 0.000
2 Pr 0.165 0.835 0.500
3 Pr 0.500 0.500 0.500
4 Pr 0.835 0.165 0.500
5 Np 0.333 0.667 0.000
6 Np 0.667 0.333 0.000
7 N 0.073 0.433 0.220
8 N 0.289 0.289 0.785
9 N 0.433 0.073 0.220
10 N 0.567 0.927 0.780
11 N 0.711 0.711 0.215
12 N 0.927 0.567 0.780

---

No. 5
This record from the Alexandria database describes a geometry-optimized Pr2NpN3 structure. The functional is GGA-PBE.

Summary:
Total moment   7.88 μB/cell
Formation energy (no corrections)   -6.1 eV per formula unit
Energy relative to the lowest polymorph listed for this composition   22.7 kJ/mol of atoms

Unit cell a=6.124 b=6.124 c=6.298 alpha=90.11 beta=90.11 gamma=64.61
Fractional coordinates of all 12 atoms:
1 Pr 0.008 0.338 0.250
2 Pr 0.338 0.008 0.750
3 Pr 0.662 0.992 0.250
4 Pr 0.992 0.662 0.750
5 Np 0.391 0.609 0.250
6 Np 0.609 0.391 0.750
7 N 0.077 0.923 0.250
8 N 0.341 0.341 0.000
9 N 0.341 0.341 0.500
10 N 0.659 0.659 0.000
11 N 0.659 0.659 0.500
12 N 0.923 0.077 0.750

---

No. 6
This record from the Alexandria database describes a geometry-optimized PrNpN3 structure. The functional is GGA-PBE.

Summary:
Total moment   4.00 μB/cell
Formation energy (no corrections)   -6.0 eV per formula unit

Unit cell a=5.971 b=5.971 c=10.235 alpha=106.53 beta=106.53 gamma=59.18
Fractional coordinates of all 20 atoms:
1 Pr 0.115 0.617 0.867
2 Pr 0.383 0.885 0.633
3 Pr 0.617 0.115 0.367
4 Pr 0.885 0.383 0.133
5 Np 0.000 0.500 0.500
6 Np 0.250 0.750 0.250
7 Np 0.500 0.000 0.000
8 Np 0.750 0.250 0.750
9 N 0.154 0.160 0.349
10 N 0.160 0.154 0.849
11 N 0.180 0.681 0.419
12 N 0.319 0.820 0.081
13 N 0.339 0.348 0.651
14 N 0.348 0.339 0.151
15 N 0.652 0.661 0.849
16 N 0.661 0.652 0.349
17 N 0.681 0.180 0.919
18 N 0.820 0.319 0.581
19 N 0.840 0.846 0.151
20 N 0.846 0.840 0.651

---

> Which of these has the lowest formation energy (no corrections)?

Pr3NpN4